# LiIn2P, optimized geometry, DFT PBE
# formation energy from the elements: 45 meV/atom
# final energy: -50.48 eV/cell
data_LiIn2P
_symmetry_space_group_name_H-M 'F -4 3 m'
_symmetry_Int_Tables_number 216
_symmetry_space_group_name_Hall 'F -4 2 3'
_cell_length_a 7.063
_cell_length_b 7.063
_cell_length_c 7.063
_cell_angle_alpha 90.00
_cell_angle_beta 90.00
_cell_angle_gamma 90.00
loop_
_atom_site_label
_atom_site_type_symbol
_atom_site_fract_x
_atom_site_fract_y
_atom_site_fract_z
Li1 Li 0.000 0.000 0.000
In1 In 0.000 0.000 0.500
In2 In 0.250 0.250 0.750
P1 P 0.250 0.250 0.250


# Er4HgAu3, optimized geometry, DFT PBE
# energy above the lowest structure with this stoichiometry: 0 meV per atom
# formation energy from the elements: -774 meV/atom
# final energy: -34.58 eV/cell
data_Er4HgAu3
_symmetry_space_group_name_H-M 'P m m m'
_symmetry_Int_Tables_number 47
_cell_length_a 3.604
_cell_length_b 5.091
_cell_length_c 10.172
_cell_angle_alpha 90.00
_cell_angle_beta 90.00
_cell_angle_gamma 90.00
loop_
_symmetry_equiv_pos_as_xyz
'x,y,z'
'-x,-y,-z'
'-x,-y,z'
'x,y,-z'
'x,-y,-z'
'-x,y,z'
'-x,y,-z'
'x,-y,z'
loop_
_atom_site_label
_atom_site_type_symbol
_atom_site_fract_x
_atom_site_fract_y
_atom_site_fract_z
Er1 Er 0.000 0.000 0.000
Er2 Er 0.000 0.000 0.500
Er3 Er 0.000 0.500 0.242
Hg1 Hg 0.500 0.500 0.500
Au1 Au 0.500 0.000 0.254
Au2 Au 0.500 0.500 0.000


# Pm12Ge2Pt5, optimized geometry, DFT PBE
# formation energy from the elements: -700 meV/atom
# final energy: -219.47 eV/cell
data_Pm12Ge2Pt5
_symmetry_space_group_name_H-M 'C 1 2/m 1'
_symmetry_Int_Tables_number 12
_cell_length_a 17.011
_cell_length_b 7.204
_cell_length_c 9.403
_cell_angle_alpha 90.00
_cell_angle_beta 105.74
_cell_angle_gamma 90.00
loop_
_symmetry_equiv_pos_as_xyz
'x,y,z'
'-x,-y,-z'
'-x,y,-z'
'x,-y,z'
'x+1/2,y+1/2,z'
'-x+1/2,-y+1/2,-z'
'-x+1/2,y+1/2,-z'
'x+1/2,-y+1/2,z'
loop_
_atom_site_label
_atom_site_type_symbol
_atom_site_fract_x
_atom_site_fract_y
_atom_site_fract_z
Pm1 Pm 0.001 0.000 0.218
Pm2 Pm 0.030 0.500 0.313
Pm3 Pm 0.149 0.255 0.060
Pm4 Pm 0.180 0.240 0.607
Ge1 Ge 0.000 0.185 0.500
Pt1 Pt 0.000 0.500 0.000
Pt2 Pt 0.180 0.000 0.335
Pt3 Pt 0.205 0.000 0.864


# CaNd5Cu6, optimized geometry, DFT PBE
# formation energy from the elements: -135 meV/atom
# final energy: -104.09 eV/cell
data_CaNd5Cu6
_symmetry_space_group_name_H-M 'C m m m'
_symmetry_Int_Tables_number 65
_symmetry_space_group_name_Hall '-C 2 2'
_cell_length_a 5.085
_cell_length_b 15.262
_cell_length_c 7.135
_cell_angle_alpha 90.00
_cell_angle_beta 90.00
_cell_angle_gamma 90.00
loop_
_atom_site_label
_atom_site_type_symbol
_atom_site_fract_x
_atom_site_fract_y
_atom_site_fract_z
Ca1 Ca 0.000 0.000 0.000
Nd1 Nd 0.000 0.000 0.500
Nd2 Nd 0.000 0.333 0.500
Nd3 Nd 0.000 0.337 0.000
Cu1 Cu 0.000 0.171 0.252
Cu2 Cu 0.000 0.500 0.261


# CeI2Br8, optimized geometry, DFT PBE
# formation energy (no corrections): -0.6476 eV/atom
# final energy: -59.08 eV/cell
data_CeI2Br8
_symmetry_space_group_name_H-M 'C 1 2/m 1'
_symmetry_Int_Tables_number 12
_cell_length_a 17.233
_cell_length_b 7.141
_cell_length_c 8.409
_cell_angle_alpha 90.00
_cell_angle_beta 110.95
_cell_angle_gamma 90.00
loop_
_symmetry_equiv_pos_as_xyz
'x,y,z'
'-x,-y,-z'
'-x,y,-z'
'x,-y,z'
'x+1/2,y+1/2,z'
'-x+1/2,-y+1/2,-z'
'-x+1/2,y+1/2,-z'
'x+1/2,-y+1/2,z'
loop_
_atom_site_label
_atom_site_type_symbol
_atom_site_fract_x
_atom_site_fract_y
_atom_site_fract_z
Ce1 Ce 0.000 0.000 0.000
I1 I 0.247 0.500 0.536
Br1 Br 0.080 0.000 0.376
Br2 Br 0.089 0.500 0.449
Br3 Br 0.112 0.257 0.970


# AcSmIrPt, optimized geometry, DFT PBE
# energy above the lowest structure with this stoichiometry: 98 meV per atom
# formation energy from the elements: -785 meV/atom
# final energy: -107.48 eV/cell
data_AcSmIrPt
_symmetry_space_group_name_H-M 'F -4 3 m'
_symmetry_Int_Tables_number 216
_symmetry_space_group_name_Hall 'F -4 2 3'
_cell_length_a 7.282
_cell_length_b 7.282
_cell_length_c 7.282
_cell_angle_alpha 90.00
_cell_angle_beta 90.00
_cell_angle_gamma 90.00
loop_
_atom_site_label
_atom_site_type_symbol
_atom_site_fract_x
_atom_site_fract_y
_atom_site_fract_z
Ac1 Ac 0.000 0.000 0.000
Sm1 Sm 0.000 0.000 0.500
Ir1 Ir 0.250 0.250 0.750
Pt1 Pt 0.250 0.250 0.250